[1]
# Cr2AgPt

Cr2AgPt after structural relaxation (PBE, Alexandria via LeMat-Bulk).

```
data_Cr2AgPt
_symmetry_space_group_name_H-M 'P m m m'
_symmetry_Int_Tables_number 47
_symmetry_space_group_name_Hall '-P 2 2'
_cell_length_a 2.694
_cell_length_b 4.051
_cell_length_c 5.425
_cell_angle_alpha 90.00
_cell_angle_beta 90.00
_cell_angle_gamma 90.00
loop_
_atom_site_label
_atom_site_fract_x
_atom_site_fract_y
_atom_site_fract_z
_atom_site_occupancy
Cr1 0.000 0.000 0.196 1
Ag1 0.500 0.500 0.500 1
Pt1 0.500 0.500 0.000 1
```

## Properties
Final energy, eV per atom: -6.7305
ΔH_f (0 K), eV per atom: 0.304
N(E_F), states/eV per atom: 1.14



[2]
# CrAgPt2

CrAgPt2 after structural relaxation (PBE, Alexandria via LeMat-Bulk).

```
data_CrAgPt2
_symmetry_space_group_name_H-M 'P m m 2'
_symmetry_Int_Tables_number 25
_symmetry_space_group_name_Hall 'P 2 -2'
_cell_length_a 2.861
_cell_length_b 4.576
_cell_length_c 4.831
_cell_angle_alpha 90.00
_cell_angle_beta 90.00
_cell_angle_gamma 90.00
loop_
_atom_site_label
_atom_site_fract_x
_atom_site_fract_y
_atom_site_fract_z
_atom_site_occupancy
Cr1 0.000 0.000 0.000 1
Ag1 0.000 0.500 0.363 1
Pt1 0.500 0.000 0.518 1
Pt2 0.500 0.500 0.868 1
```

## Properties
Final energy, eV per atom: -6.1248
Relative energy among the computed polymorphs, eV per formula unit: 0.61
ΔH_f (0 K), eV per atom: 0.014
N(E_F), states/eV per atom: 1.03



[3]
# CrAgPt2

CrAgPt2 after structural relaxation (PBE, Alexandria via LeMat-Bulk).

```
data_CrAgPt2
_symmetry_space_group_name_H-M 'P 1 2/m 1'
_symmetry_Int_Tables_number 10
_symmetry_space_group_name_Hall '-P 2y'
_cell_length_a 4.802
_cell_length_b 2.885
_cell_length_c 4.883
_cell_angle_alpha 90.00
_cell_angle_beta 109.60
_cell_angle_gamma 90.00
loop_
_atom_site_label
_atom_site_fract_x
_atom_site_fract_y
_atom_site_fract_z
_atom_site_occupancy
Cr1 0.000 0.000 0.000 1
Ag1 0.000 0.500 0.500 1
Pt1 0.500 0.000 0.500 1
Pt2 0.500 0.500 0.000 1
```

## Properties
Final energy, eV per atom: -6.1033
Relative energy among the computed polymorphs, eV per formula unit: 0.70
ΔH_f (0 K), eV per atom: 0.036
N(E_F), states/eV per atom: 0.91



[4]
# Cr2AgPt

Cr2AgPt after structural relaxation (PBE, Alexandria via LeMat-Bulk).

```
data_Cr2AgPt
_symmetry_space_group_name_H-M 'C m m 2'
_symmetry_Int_Tables_number 35
_symmetry_space_group_name_Hall 'C 2 -2'
_cell_length_a 2.931
_cell_length_b 4.555
_cell_length_c 8.723
_cell_angle_alpha 90.00
_cell_angle_beta 90.00
_cell_angle_gamma 90.00
loop_
_atom_site_label
_atom_site_fract_x
_atom_site_fract_y
_atom_site_fract_z
_atom_site_occupancy
Cr1 0.000 0.000 0.000 1
Cr2 0.000 0.500 0.189 1
Ag1 0.000 0.000 0.463 1
Pt1 0.000 0.500 0.750 1
```

## Properties
Final energy, eV per atom: -6.8379
ΔH_f (0 K), eV per atom: 0.197
N(E_F), states/eV per atom: 0.94



[5]
# CrAgPt2

CrAgPt2 after structural relaxation (PBE, Alexandria via LeMat-Bulk).

```
data_CrAgPt2
_symmetry_space_group_name_H-M 'C 1 m 1'
_symmetry_Int_Tables_number 8
_symmetry_space_group_name_Hall 'C -2y'
_cell_length_a 9.367
_cell_length_b 2.851
_cell_length_c 4.831
_cell_angle_alpha 90.00
_cell_angle_beta 101.28
_cell_angle_gamma 90.00
loop_
_atom_site_label
_atom_site_fract_x
_atom_site_fract_y
_atom_site_fract_z
_atom_site_occupancy
Cr1 0.000 0.000 0.000 1
Ag1 0.256 0.500 0.278 1
Pt1 0.012 0.500 0.521 1
Pt2 0.263 0.000 0.786 1
```

## Properties
Final energy, eV per atom: -6.1195
Relative energy among the computed polymorphs, eV per formula unit: 0.63
ΔH_f (0 K), eV per atom: 0.020
N(E_F), states/eV per atom: 1.11



[6]
# Cr2AgPt

Cr2AgPt after structural relaxation (PBE, Alexandria via LeMat-Bulk).

```
data_Cr2AgPt
_symmetry_space_group_name_H-M 'C 1 m 1'
_symmetry_Int_Tables_number 8
_symmetry_space_group_name_Hall 'C -2y'
_cell_length_a 9.338
_cell_length_b 2.862
_cell_length_c 4.730
_cell_angle_alpha 90.00
_cell_angle_beta 105.57
_cell_angle_gamma 90.00
loop_
_atom_site_label
_atom_site_fract_x
_atom_site_fract_y
_atom_site_fract_z
_atom_site_occupancy
Cr1 0.000 0.000 0.000 1
Cr2 0.217 0.500 0.240 1
Ag1 0.237 0.000 0.751 1
Pt1 0.469 0.000 0.474 1
```

## Properties
Final energy, eV per atom: -6.8717
ΔH_f (0 K), eV per atom: 0.163
N(E_F), states/eV per atom: 0.88